Entry 1:
Computed, not measured: a relaxed Zr2PbC crystal at the PBE level of DFT.

Summary:
SG: I-42d, No. 122
final energy: -7.567 eV/atom

abc: 6.864 6.864 5.975
angles: 54.95 54.95 90.00
Positions (direct):
Zr (0.217, 0.625, 0.250)
Zr (0.875, 0.783, 0.750)
Pb (0.000, 0.000, 0.000)
Zr (0.533, 0.125, 0.250)
C (0.500, 0.500, 0.000)
C (0.250, 0.750, 0.500)
Zr (0.375, 0.467, 0.750)
Pb (0.750, 0.250, 0.500)

Entry 2:
Computed, not measured: a relaxed InPb6Au4 crystal at the PBE level of DFT.

Summary:
SG: P6_3mc, No. 186
final energy: -3.522 eV/atom

abc: 7.197 9.935 9.935
angles: 120.00 90.00 90.00
Positions (direct):
Pb (0.949, 0.850, 0.150)
Pb (0.949, 0.850, 0.701)
Pb (0.132, 0.467, 0.935)
Au (0.861, 0.176, 0.353)
Pb (0.449, 0.150, 0.299)
Pb (0.632, 0.935, 0.467)
Au (0.893, 0.667, 0.333)
Pb (0.132, 0.065, 0.533)
In (0.271, 0.667, 0.333)
Au (0.361, 0.824, 0.176)
Au (0.861, 0.176, 0.824)
Pb (0.949, 0.299, 0.150)
In (0.771, 0.333, 0.667)
Pb (0.449, 0.150, 0.850)
Pb (0.132, 0.467, 0.533)
Pb (0.632, 0.533, 0.467)
Au (0.361, 0.353, 0.176)
Au (0.861, 0.647, 0.824)
Au (0.393, 0.333, 0.667)
Pb (0.632, 0.533, 0.065)
Au (0.361, 0.824, 0.647)
Pb (0.449, 0.701, 0.850)

Entry 3:
Computed, not measured: a relaxed MgVCu crystal at the PBE level of DFT.

Summary:
energy above the most stable polymorph in this dataset: 120.2 meV per atom
SG: C2/m, No. 12
final energy: -4.705 eV/atom

abc: 5.546 4.140 4.364
angles: 90.04 66.83 91.92
Positions (direct):
Mg (0.111, 0.079, 0.630)
V (0.709, 0.033, 0.331)
V (0.511, 0.610, 0.430)
Cu (0.453, 0.073, 0.960)
Mg (0.109, 0.564, 0.131)
Cu (0.768, 0.570, 0.802)

Entry 4:
Computed, not measured: a relaxed Ti3Pd5 crystal at the PBE level of DFT.

Summary:
energy above the most stable polymorph in this dataset: 46.1 meV per atom
SG: Cmmm, No. 65
final energy: -6.770 eV/atom

abc: 3.939 5.608 5.608
angles: 92.07 90.00 90.00
Each line ends with the local moment (μB).
Positions (direct):
Pd (0.500, 0.266, 0.266)  0.01
Pd (0.000, 0.500, 0.000)  0.01
Pd (0.000, 0.000, 0.000)  0.01
Pd (0.500, 0.734, 0.734)  0.01
Ti (0.500, 0.229, 0.771)  0.25
Pd (0.000, 0.000, 0.500)  0.01
Ti (0.000, 0.500, 0.500)  0.43
Ti (0.500, 0.771, 0.229)  0.25

Entry 5:
Computed, not measured: a relaxed Tm2Tl4In crystal at the PBE level of DFT.

Summary:
energy above the most stable polymorph in this dataset: 0.0 meV per atom
SG: R-3m, No. 166
final energy: -3.030 eV/atom

abc: 4.692 4.692 11.450
angles: 78.18 78.18 60.00
Positions (direct):
Tl (0.122, 0.122, 0.635)
In (0.500, 0.500, 0.500)
Tl (0.309, 0.309, 0.072)
Tl (0.878, 0.878, 0.365)
Tm (0.405, 0.405, 0.785)
Tl (0.691, 0.691, 0.928)
Tm (0.595, 0.595, 0.215)

Entry 6:
Computed, not measured: a relaxed ThSc4Bi5 crystal at the PBE level of DFT.

Summary:
SG: Immm, No. 71
final energy: -5.838 eV/atom

abc: 4.341 6.208 11.441
angles: 105.74 100.94 90.00
Positions (direct):
Bi (0.198, 0.698, 0.396)
Bi (0.610, 0.110, 0.220)
Sc (0.206, 0.206, 0.413)
Bi (0.000, 0.500, 0.000)
Bi (0.802, 0.302, 0.604)
Sc (0.399, 0.399, 0.799)
Th (0.000, 0.000, 0.000)
Sc (0.794, 0.794, 0.587)
Bi (0.390, 0.890, 0.780)
Sc (0.601, 0.601, 0.201)

Entry 7:
Computed, not measured: a relaxed KCaSc crystal at the PBE level of DFT.

Summary:
energy above the most stable polymorph in this dataset: 145.5 meV per atom
SG: Imm2, No. 44
final energy: -2.609 eV/atom

abc: 6.811 6.811 6.811
angles: 149.77 131.00 58.67
Each line ends with the local moment (μB).
Positions (direct):
K (0.669, 0.669, 0.000)  0.01
Ca (0.985, 0.985, 0.000)  0.01
Sc (0.346, 0.346, 0.000)  0.29

Entry 8:
Computed, not measured: a relaxed BaScHg2Bi crystal at the PBE level of DFT.

Summary:
SG: P4/mmm, No. 123
final energy: -2.942 eV/atom

abc: 5.585 5.585 5.643
angles: 90.00 90.00 90.00
Positions (direct):
Ba (0.500, 0.500, 0.500)
Sc (0.000, 0.000, 0.000)
Hg (0.000, 0.500, 0.000)
Bi (0.000, 0.000, 0.500)
Hg (0.500, 0.000, 0.000)

Per-record N(E_F), states/eV per atom: 0.326 0.530 0.716 0.902 0.468 0.397 1.503 0.864
Per-record ΔH_f (0 K), kJ per mole of atoms: -5.8 -5.7 22.3 -54.4 -0.8 -60.1 51.5 -38.0